[1]
The following is a PBE calculation of a relaxed Zn4CdSe4S crystal, from Alexandria.

Unit cell a=10.7726 b=10.7726 c=10.7726 alpha=158.18 beta=148.83 gamma=38.37
Positions (direct):
Zn 0.6025 0.5989 0.0036
Zn 0.2078 0.2030 0.0048
Zn 0.8017 0.7970 0.0048
Zn 0.4046 0.4011 0.0036
Cd 0.9839 0.0000 0.9839
Se 0.3642 0.1048 0.2594
Se 0.9557 0.6983 0.2574
Se 0.5591 0.3017 0.2574
Se 0.1545 0.8952 0.2594
S 0.7161 0.5000 0.2161

## Properties
E_form (uncorrected) = -67.8 kJ per mole of atoms

---

[2]
The following is a PBE calculation of a relaxed Sc3BeP2 crystal, from Alexandria.

Unit cell a=3.6376 b=10.4924 c=10.2390 alpha=90.00 beta=90.00 gamma=90.00
Positions (direct):
Sc 0.2500 0.3794 0.0586
Sc 0.7500 0.6206 0.9414
Sc 0.7500 0.8794 0.4414
Sc 0.2500 0.1206 0.5586
Sc 0.2500 0.7044 0.1985
Sc 0.7500 0.2956 0.8015
Sc 0.7500 0.2044 0.3015
Sc 0.2500 0.7956 0.6985
Sc 0.2500 0.4411 0.3799
Sc 0.7500 0.5589 0.6201
Sc 0.7500 0.9411 0.1201
Sc 0.2500 0.0589 0.8799
Be 0.2500 0.1313 0.1337
Be 0.7500 0.8687 0.8663
Be 0.7500 0.6313 0.3663
Be 0.2500 0.3687 0.6337
P 0.2500 0.6838 0.4667
P 0.7500 0.3162 0.5333
P 0.7500 0.1838 0.0333
P 0.2500 0.8162 0.9667
P 0.2500 0.0147 0.3096
P 0.7500 0.9853 0.6904
P 0.7500 0.5147 0.1904
P 0.2500 0.4853 0.8096

## Properties
ΔE_f = -24.56 kcal/mol of atoms
D(E_F) = 3.33 states/eV/f.u.

---

[3]
The following is a PBE calculation of a relaxed Ho2Si3Pd9 crystal, from Alexandria.

Unit cell a=7.6463 b=7.6463 c=10.0021 alpha=89.73 beta=112.67 gamma=120.13
Positions (direct):
Ho 0.3355 0.2438 0.7504
Ho 0.6645 0.7562 0.2496
Ho 0.9934 0.5851 0.7496
Ho 0.0066 0.4149 0.2504
Si 0.5000 0.0000 0.0000
Si 0.5000 0.5000 0.5000
Si 0.8468 0.1745 0.5004
Si 0.1532 0.8255 0.4996
Si 0.1740 0.3463 0.9996
Si 0.8260 0.6537 0.0004
Pd 0.4500 0.9209 0.7472
Pd 0.5500 0.0791 0.2528
Pd 0.6737 0.7028 0.7528
Pd 0.3263 0.2972 0.2472
Pd 0.4354 0.6289 0.9225
Pd 0.5646 0.3711 0.0775
Pd 0.2064 0.5129 0.5775
Pd 0.7936 0.4871 0.4225
Pd 0.8880 0.1380 0.7500
Pd 0.1120 0.8620 0.2500
Pd 0.1451 0.9874 0.9516
Pd 0.8549 0.0126 0.0484
Pd 0.5358 0.1935 0.5484
Pd 0.4642 0.8065 0.4516
Pd 0.8926 0.8597 0.5740
Pd 0.1074 0.1403 0.4260
Pd 0.7857 0.3186 0.9260
Pd 0.2143 0.6814 0.0740

## Properties
E_form (uncorrected) = -80.7 kJ per mole of atoms
D(E_F) = 7.73 states/eV/f.u.

---

Computed density, in the same sequence as the records: 4.99, 3.50, 10.05 g cm⁻³.